[1]
## Tl2NiAu (PBE-GGA)

Data for an optimized crystal structure of Tl2NiAu.

Properties
Energy relative to the lowest polymorph listed for this composition, eV per formula unit: 0.687
Crystal system: orthorhombic
Volume, A^3/atom: 20.9

```
Tl2NiAu
1.0
-1.3630 3.5029 -3.0990
-3.4460 -3.1818 -1.3164
0.4381 1.8284 4.4941
Au Ni Tl
1 1 2
Direct
0.2500 0.7500 0.5000
0.7500 0.2500 0.5000
0.9881 0.9881 0.0000
0.5119 0.5119 0.0000
```


[2]
## Tl2Ni2Au (PBE-GGA)

Data for an optimized crystal structure of Tl2Ni2Au.

Properties
Crystal system: tetragonal
VASP energy, Ry/atom: -0.27475
Volume, A^3/atom: 17.9

```
Tl2Ni2Au
1.0
-0.9876 4.7160 4.9925
-6.7423 -1.6251 0.2014
0.6990 -2.5807 2.5760
Ni Tl Au
4 4 2
Direct
0.3691 0.8691 0.0000
0.8691 0.6309 0.0000
0.6309 0.1309 0.0000
0.1309 0.3691 0.0000
0.1695 0.6695 0.5000
0.6695 0.8305 0.5000
0.8305 0.3305 0.5000
0.3305 0.1695 0.5000
0.0000 0.0000 0.0000
0.5000 0.5000 0.0000
```


[3]
## Tl2NiAu (PBE-GGA)

Data for an optimized crystal structure of Tl2NiAu.

Properties
Energy relative to the lowest polymorph listed for this composition, eV per formula unit: 1.029
Crystal system: tetragonal
Volume, A^3/atom: 22.9

```
Tl2NiAu
1.0
-1.6832 -3.4352 2.2856
2.7635 0.8945 3.3795
-5.8048 4.3083 6.5443
Ni Tl Au
2 4 2
Direct
0.5000 0.5000 0.0000
0.2500 0.7500 0.5000
0.6033 0.1250 0.2500
0.1467 0.6250 0.2500
0.3750 0.3967 0.7500
0.8750 0.8533 0.7500
0.0000 0.0000 0.0000
0.7500 0.2500 0.5000
```


[4]
## Tl2NiAu (PBE-GGA)

Data for an optimized crystal structure of Tl2NiAu.

Properties
Energy relative to the lowest polymorph listed for this composition, eV per formula unit: 0.719
Crystal system: orthorhombic
Volume, A^3/atom: 20.8

```
Tl2NiAu
1.0
-2.5206 -3.6227 1.5631
-0.5876 -1.7306 -4.9582
2.8046 -1.8206 0.3031
Au Ni Tl
1 1 2
Direct
0.5000 0.0000 0.5000
0.0000 0.5000 0.5000
0.0000 0.0000 0.0000
0.5000 0.5000 0.0000
```


[5]
## TlNi4Au (PBE-GGA)

Data for an optimized crystal structure of TlNi4Au.

Properties
Crystal system: cubic
VASP energy, Ry/atom: -0.33881
Volume, A^3/atom: 13.9

```
TlNi4Au
1.0
0.0000 3.4716 3.4716
3.4716 0.0000 3.4716
3.4716 3.4716 0.0000
Tl Ni Au
1 4 1
Direct
0.2500 0.2500 0.2500
0.6253 0.6253 0.1241
0.6253 0.1241 0.6253
0.6253 0.6253 0.6253
0.1241 0.6253 0.6253
0.0000 0.0000 0.0000
```


[6]
## Tl4NiAu (PBE-GGA)

Data for an optimized crystal structure of Tl4NiAu.

Properties
Crystal system: cubic
VASP energy, Ry/atom: -0.17690
Volume, A^3/atom: 28.3

```
Tl4NiAu
1.0
-1.1933 -4.5203 -4.0971
-5.3425 -3.1611 0.3278
-4.3676 0.8187 -4.3470
Tl Ni Au
4 1 1
Direct
0.8754 0.3749 0.3749
0.3749 0.3749 0.8754
0.3749 0.8754 0.3749
0.3749 0.3749 0.3749
0.0000 0.0000 0.0000
0.7500 0.7500 0.7500
```


[7]
## Tl2NiAu (PBE-GGA)

Data for an optimized crystal structure of Tl2NiAu.

Properties
Energy relative to the lowest polymorph listed for this composition, eV per formula unit: 0.000
Crystal system: monoclinic
Volume, A^3/atom: 22.0

```
Tl2NiAu
1.0
3.3176 0.0000 0.0000
0.0000 4.1911 0.0411
0.0000 2.0589 6.3378
Au Ni Tl
1 1 2
Direct
0.0000 0.6807 0.5116
0.5000 0.5154 0.8447
0.0000 0.0020 0.8709
0.5000 0.3018 0.2728
```


[8]
## TlNi2Au (PBE-GGA)

Data for an optimized crystal structure of TlNi2Au.

Properties
Crystal system: cubic
VASP energy, Ry/atom: -0.29339
Volume, A^3/atom: 15.9

```
TlNi2Au
1.0
-2.1378 -3.9213 0.3463
2.2049 -3.6364 1.4078
-0.8744 -1.7251 4.0405
Au Ni Tl
1 2 1
Direct
0.5000 0.5000 0.5000
0.0000 0.0000 0.0000
0.2500 0.2500 0.2500
0.7500 0.7500 0.7500
```


Look up the volume of the fourth one. 20.8 A^3/atom